1.
The following is a GGA-PBE calculation of a relaxed Rb2Cd3In crystal, from Alexandria via LeMat-Bulk.

Geometry as extended XYZ:
```
12
Lattice="5.746 -4.483 0.000 5.746 4.483 0.000 -4.530 0.000 9.173" Properties=species:S:1:pos:R:3 pbc="T T T"
Rb 1.148 0.015 3.429
Rb -1.117 -0.015 8.015
Rb 8.079 0.015 1.158
Rb 5.813 -0.015 5.744
Cd 5.717 2.990 0.002
Cd 3.509 2.990 4.585
Cd 2.348 1.477 6.880
Cd 4.613 -1.477 2.293
Cd 3.452 -2.990 4.588
Cd 1.244 -2.990 9.171
In 4.613 1.480 2.293
In 2.348 -1.480 6.880
```

**Formation enthalpy at 0 K**: -0.025 eV/atom
**M_tot**: 0.0 μB/f.u.


2.
The following is a GGA-PBE calculation of a relaxed LiFe2W crystal, from Alexandria via LeMat-Bulk.

Geometry as extended XYZ:
```
4
Lattice="1.347 0.778 8.791 -1.347 0.778 8.791 0.000 -1.556 8.791" Properties=species:S:1:pos:R:3 pbc="T T T"
Li 0.000 0.000 0.000
Fe 0.000 0.000 12.923
Fe 0.000 0.000 19.830
W 0.000 0.000 6.253
```

**Formation enthalpy at 0 K**: 0.347 eV/atom
**M_tot**: 3.9 μB/f.u.


3.
The following is a GGA-PBE calculation of a relaxed Ta2Nb8Ru crystal, from Alexandria via LeMat-Bulk.

Geometry as extended XYZ:
```
11
Lattice="7.138 -2.677 0.000 7.138 2.677 0.000 -1.109 0.000 5.284" Properties=species:S:1:pos:R:3 pbc="T T T"
Ta 2.732 0.000 0.333
Ta 10.436 0.000 4.951
Nb -0.267 0.000 1.275
Nb 13.435 0.000 4.008
Nb 4.345 1.349 2.275
Nb 4.615 0.000 5.056
Nb 8.823 1.349 3.009
Nb 4.345 -1.349 2.275
Nb 8.552 0.000 0.228
Nb 8.823 -1.349 3.009
Ru 6.584 0.000 2.642
```

**Formation enthalpy at 0 K**: 0.061 eV/atom
**M_tot**: 0.0 μB/f.u.


4.
The following is a GGA-PBE calculation of a relaxed Re2TeAs crystal, from Alexandria via LeMat-Bulk.

Geometry as extended XYZ:
```
4
Lattice="3.046 0.000 0.000 0.000 3.046 0.000 0.000 0.000 8.159" Properties=species:S:1:pos:R:3 pbc="T T T"
Re 0.000 0.000 0.000
Re 1.523 1.523 1.784
Te 0.000 0.000 3.525
As 1.523 1.523 6.642
```

**M_tot**: 0.0 μB/f.u.
**Raw formation energy**: 0.245 eV/atom


5.
The following is a GGA-PBE calculation of a relaxed CaReN3 crystal, from Alexandria via LeMat-Bulk.

Geometry as extended XYZ:
```
10
Lattice="-1.978 1.978 9.535 1.978 -1.978 9.535 1.978 1.978 -9.535" Properties=species:S:1:pos:R:3 pbc="T T T"
Ca 0.000 0.000 1.668
Ca 0.000 0.000 17.403
Re 0.000 0.000 9.535
Re 0.000 1.978 4.768
N 1.978 0.000 0.022
N 1.978 1.348 -3.432
N 0.000 0.630 6.103
N 1.978 0.000 9.513
N 1.348 1.978 3.432
N 0.630 0.000 12.967
```

**M_tot**: 0.0 μB/f.u.
**Raw formation energy**: -0.141 eV/atom


6.
The following is a GGA-PBE calculation of a relaxed ZnSnMo2Pb crystal, from Alexandria via LeMat-Bulk.

Geometry as extended XYZ:
```
5
Lattice="5.203 0.000 0.000 0.000 5.203 0.000 0.000 0.000 4.891" Properties=species:S:1:pos:R:3 pbc="T T T"
Zn 0.000 0.000 0.000
Sn 0.000 0.000 2.445
Mo 0.000 2.601 2.445
Mo 2.601 0.000 2.445
Pb 2.601 2.601 0.000
```

**Formation enthalpy at 0 K**: 1.492 eV/atom
**M_tot**: 5.4 μB/f.u.


7.
The following is a GGA-PBE calculation of a relaxed ZnIr2Os crystal, from Alexandria via LeMat-Bulk.

Geometry as extended XYZ:
```
4
Lattice="-1.426 2.246 4.485 1.426 -2.246 4.485 1.426 2.246 -4.485" Properties=species:S:1:pos:R:3 pbc="T T T"
Zn 0.000 0.000 0.000
Ir 0.000 0.000 4.415
Ir 0.000 2.246 2.421
Os 1.426 0.000 2.095
```

**Formation enthalpy at 0 K**: 0.240 eV/atom
**M_tot**: 0.0 μB/f.u.


8.
The following is a GGA-PBE calculation of a relaxed YIrRuCl2 crystal, from Alexandria via LeMat-Bulk.

Geometry as extended XYZ:
```
5
Lattice="5.035 0.000 0.000 0.000 5.035 0.000 0.000 0.000 5.518" Properties=species:S:1:pos:R:3 pbc="T T T"
Y 0.000 0.000 0.000
Ir 0.000 0.000 2.759
Ru 2.517 2.517 2.759
Cl 0.000 2.517 0.000
Cl 2.517 0.000 0.000
```

**M_tot**: 4.0 μB/f.u.
**Raw formation energy**: 0.566 eV/atom


9.
The following is a GGA-PBE calculation of a relaxed Ac2Ho2Pt15 crystal, from Alexandria via LeMat-Bulk.

Geometry as extended XYZ:
```
19
Lattice="4.725 2.728 4.644 -4.725 2.728 4.644 0.000 -5.456 4.644" Properties=species:S:1:pos:R:3 pbc="T T T"
Ac 0.000 0.000 2.026
Ac 0.000 0.000 11.905
Ho 0.000 0.000 5.494
Ho 0.000 0.000 8.437
Pt -2.363 -1.364 4.644
Pt 0.000 -2.735 4.477
Pt -2.369 1.368 4.477
Pt -1.442 -2.497 6.966
Pt -2.883 0.000 6.966
Pt -2.369 -1.368 9.454
Pt -2.363 1.364 9.287
Pt 1.442 -2.497 6.966
Pt 0.000 2.728 4.644
Pt -1.442 2.497 6.966
Pt 2.369 1.368 4.477
Pt 2.883 0.000 6.966
Pt 1.442 2.497 6.966
Pt 2.369 -1.368 9.454
Pt 0.000 2.735 9.454
```

**Formation enthalpy at 0 K**: -0.767 eV/atom
**M_tot**: 0.0 μB/f.u.


10.
The following is a GGA-PBE calculation of a relaxed HfPaFeRe crystal, from Alexandria via LeMat-Bulk.

Geometry as extended XYZ:
```
4
Lattice="0.000 3.322 3.322 3.322 0.000 3.322 3.322 3.322 0.000" Properties=species:S:1:pos:R:3 pbc="T T T"
Hf 0.000 0.000 0.000
Pa 3.322 3.322 3.322
Fe 4.983 4.983 4.983
Re 1.661 1.661 1.661
```

**Formation enthalpy at 0 K**: -0.113 eV/atom
**M_tot**: 0.7 μB/f.u.


11.
The following is a GGA-PBE calculation of a relaxed IrOs2Pb crystal, from Alexandria via LeMat-Bulk.

Geometry as extended XYZ:
```
4
Lattice="1.447 0.835 9.406 -1.447 0.835 9.406 0.000 -1.670 9.406" Properties=species:S:1:pos:R:3 pbc="T T T"
Ir 0.000 0.000 0.000
Os 0.000 0.000 7.259
Os 0.000 0.000 14.625
Pb 0.000 0.000 21.372
```

**Formation enthalpy at 0 K**: 0.690 eV/atom
**M_tot**: 0.0 μB/f.u.